! PrSm7Sc3 | the Alexandria database | PBE-GGA | relaxed; values from VASP
&SYSTEM
  ibrav = 0, nat = 11, ntyp = 3
/
ATOMIC_SPECIES
Pr 140.91 Pr.upf
Sm 150.36 Sm.upf
Sc 44.96 Sc.upf
ATOMIC_POSITIONS crystal
Pr 0.000 0.000 0.000
Sm 0.000 0.500 0.500
Sm 0.102 0.294 0.808
Sm 0.304 0.000 0.304
Sm 0.485 0.294 0.192
Sm 0.515 0.706 0.808
Sm 0.696 0.000 0.696
Sm 0.898 0.706 0.192
Sc 0.292 0.792 0.500
Sc 0.500 0.500 0.000
Sc 0.708 0.208 0.500
CELL_PARAMETERS angstrom
-2.913 5.352 5.678
2.913 -5.352 5.678
2.913 5.352 -5.678
! D(E_F), states/eV per atom: 1.49
! Energy of formation, eV/atom: 0.24

=====

! NbRe2PdAu | the Alexandria database | PBE-GGA | relaxed; values from VASP
&SYSTEM
  ibrav = 0, nat = 5, ntyp = 4
/
ATOMIC_SPECIES
Nb 92.91 Nb.upf
Re 186.21 Re.upf
Pd 106.42 Pd.upf
Au 196.97 Au.upf
ATOMIC_POSITIONS crystal
Nb 0.000 0.000 0.000
Re 0.000 0.500 0.500
Re 0.500 0.000 0.500
Pd 0.500 0.500 0.500
Au 0.500 0.500 0.000
CELL_PARAMETERS angstrom
4.668 0.000 0.000
0.000 4.668 0.000
0.000 0.000 4.786
! D(E_F), states/eV per atom: 1.40
! Energy of formation, eV/atom: 2.09

=====

! CsBeGa2Pb | the Alexandria database | PBE-GGA | relaxed; values from VASP
&SYSTEM
  ibrav = 0, nat = 5, ntyp = 4
/
ATOMIC_SPECIES
Cs 132.91 Cs.upf
Be 9.01 Be.upf
Ga 69.72 Ga.upf
Pb 207.20 Pb.upf
ATOMIC_POSITIONS crystal
Cs 0.000 0.000 0.000
Be 0.000 0.000 0.500
Ga 0.000 0.500 0.000
Ga 0.500 0.000 0.000
Pb 0.500 0.500 0.500
CELL_PARAMETERS angstrom
5.905 0.000 0.000
0.000 5.905 0.000
0.000 0.000 5.405
! D(E_F), states/eV per atom: 1.18
! Energy of formation, eV/atom: 1.49

=====

! BaLa2Pd | the Alexandria database | PBE-GGA | relaxed; values from VASP
&SYSTEM
  ibrav = 0, nat = 12, ntyp = 3
/
ATOMIC_SPECIES
Ba 137.33 Ba.upf
La 138.91 La.upf
Pd 106.42 Pd.upf
ATOMIC_POSITIONS crystal
Ba 0.000 0.000 0.000
Ba 0.333 0.667 0.667
Ba 0.667 0.333 0.333
La 0.000 0.000 0.219
La 0.000 0.000 0.781
La 0.333 0.667 0.447
La 0.333 0.667 0.886
La 0.667 0.333 0.114
La 0.667 0.333 0.553
Pd 0.000 0.000 0.500
Pd 0.333 0.667 0.167
Pd 0.667 0.333 0.833
CELL_PARAMETERS angstrom
4.283 0.000 0.000
-2.141 3.709 0.000
0.000 0.000 30.671
! D(E_F), states/eV per atom: 1.34
! Energy of formation, eV/atom: -0.30
! Distance to the lowest polymorph of the same formula, meV/atom: 7

=====

! Rb4I2Cl | the Alexandria database | PBE-GGA | relaxed; values from VASP
&SYSTEM
  ibrav = 0, nat = 14, ntyp = 3
/
ATOMIC_SPECIES
Rb 85.47 Rb.upf
I 126.90 I.upf
Cl 35.45 Cl.upf
ATOMIC_POSITIONS crystal
Rb 0.000 0.000 0.187
Rb 0.000 0.000 0.813
Rb 0.000 0.500 0.000
Rb 0.000 0.500 0.500
Rb 0.500 0.000 0.000
Rb 0.500 0.000 0.500
Rb 0.500 0.500 0.313
Rb 0.500 0.500 0.687
I 0.000 0.000 0.381
I 0.000 0.000 0.619
I 0.500 0.500 0.119
I 0.500 0.500 0.881
Cl 0.000 0.000 0.000
Cl 0.500 0.500 0.500
CELL_PARAMETERS angstrom
6.379 0.000 0.000
0.000 6.379 0.000
0.000 0.000 18.918
! Formation energy (no corrections), eV/f.u.: -9.1
! D(E_F), states/eV per atom: 0.25

=====

! Al2RhW | the Alexandria database | PBE-GGA | relaxed; values from VASP
&SYSTEM
  ibrav = 0, nat = 4, ntyp = 3
/
ATOMIC_SPECIES
Al 26.98 Al.upf
Rh 102.91 Rh.upf
W 183.84 W.upf
ATOMIC_POSITIONS crystal
Al 0.000 0.000 0.000
Al 0.500 0.000 0.500
Rh 0.000 0.500 0.500
W 0.500 0.500 0.000
CELL_PARAMETERS angstrom
2.871 0.000 0.000
0.000 4.349 0.000
0.000 0.000 4.841
! D(E_F), states/eV per atom: 0.60
! Energy of formation, eV/atom: -0.17
! Distance to the lowest polymorph of the same formula, meV/atom: 278

=====

! LaReTc2Ir | the Alexandria database | PBE-GGA | relaxed; values from VASP
&SYSTEM
  ibrav = 0, nat = 5, ntyp = 4
/
ATOMIC_SPECIES
La 138.91 La.upf
Re 186.21 Re.upf
Tc 98.00 Tc.upf
Ir 192.22 Ir.upf
ATOMIC_POSITIONS crystal
La 0.000 0.000 0.000
Re 0.500 0.500 0.000
Tc 0.000 0.500 0.500
Tc 0.500 0.000 0.500
Ir 0.000 0.000 0.500
CELL_PARAMETERS angstrom
4.708 0.000 0.000
0.000 4.708 0.000
0.000 0.000 5.335
! D(E_F), states/eV per atom: 1.35
! Energy of formation, eV/atom: 1.69

=====

! SmZn2Cu | the Alexandria database | PBE-GGA | relaxed; values from VASP
&SYSTEM
  ibrav = 0, nat = 16, ntyp = 3
/
ATOMIC_SPECIES
Sm 150.36 Sm.upf
Zn 65.41 Zn.upf
Cu 63.55 Cu.upf
ATOMIC_POSITIONS crystal
Sm 0.000 0.000 0.000
Sm 0.000 0.500 0.500
Sm 0.500 0.000 0.500
Sm 0.500 0.500 0.000
Zn 0.250 0.250 0.250
Zn 0.250 0.250 0.750
Zn 0.250 0.750 0.250
Zn 0.250 0.750 0.750
Zn 0.750 0.250 0.250
Zn 0.750 0.250 0.750
Zn 0.750 0.750 0.250
Zn 0.750 0.750 0.750
Cu 0.000 0.000 0.500
Cu 0.000 0.500 0.000
Cu 0.500 0.000 0.000
Cu 0.500 0.500 0.500
CELL_PARAMETERS angstrom
6.630 0.000 0.000
0.000 6.630 0.000
0.000 0.000 6.630
! D(E_F), states/eV per atom: 0.50
! Energy of formation, eV/atom: -0.20

=====

! Ta2WI2 | the Alexandria database | PBE-GGA | relaxed; values from VASP
&SYSTEM
  ibrav = 0, nat = 10, ntyp = 3
/
ATOMIC_SPECIES
Ta 180.95 Ta.upf
W 183.84 W.upf
I 126.90 I.upf
ATOMIC_POSITIONS crystal
Ta 0.000 0.000 0.100
Ta 0.000 0.000 0.900
Ta 0.500 0.500 0.400
Ta 0.500 0.500 0.600
W 0.000 0.000 0.500
W 0.500 0.500 0.000
I 0.000 0.500 0.250
I 0.000 0.500 0.750
I 0.500 0.000 0.250
I 0.500 0.000 0.750
CELL_PARAMETERS angstrom
4.276 0.000 0.000
0.000 4.276 0.000
0.000 0.000 12.886
! Formation energy (no corrections), eV/f.u.: 8.2
! D(E_F), states/eV per atom: 0.80
! Distance to the lowest polymorph of the same formula, meV/atom: 367

=====

! GdThOsRu | the Alexandria database | PBE-GGA | relaxed; values from VASP
&SYSTEM
  ibrav = 0, nat = 16, ntyp = 4
/
ATOMIC_SPECIES
Gd 157.25 Gd.upf
Th 232.04 Th.upf
Os 190.23 Os.upf
Ru 101.07 Ru.upf
ATOMIC_POSITIONS crystal
Gd 0.000 0.000 0.000
Gd 0.000 0.500 0.500
Gd 0.500 0.000 0.500
Gd 0.500 0.500 0.000
Th 0.000 0.000 0.500
Th 0.000 0.500 0.000
Th 0.500 0.000 0.000
Th 0.500 0.500 0.500
Os 0.250 0.250 0.250
Os 0.250 0.750 0.750
Os 0.750 0.250 0.750
Os 0.750 0.750 0.250
Ru 0.250 0.250 0.750
Ru 0.250 0.750 0.250
Ru 0.750 0.250 0.250
Ru 0.750 0.750 0.750
CELL_PARAMETERS angstrom
7.000 0.000 0.000
0.000 7.000 0.000
0.000 0.000 7.000
! D(E_F), states/eV per atom: 0.92
! Energy of formation, eV/atom: -0.25

=====

! RbHfCoRu2 | the Alexandria database | PBE-GGA | relaxed; values from VASP
&SYSTEM
  ibrav = 0, nat = 5, ntyp = 4
/
ATOMIC_SPECIES
Rb 85.47 Rb.upf
Hf 178.49 Hf.upf
Co 58.93 Co.upf
Ru 101.07 Ru.upf
ATOMIC_POSITIONS crystal
Rb 0.000 0.000 0.000
Hf 0.000 0.000 0.500
Co 0.500 0.500 0.000
Ru 0.000 0.500 0.500
Ru 0.500 0.000 0.500
CELL_PARAMETERS angstrom
4.808 0.000 0.000
0.000 4.808 0.000
0.000 0.000 5.931
! D(E_F), states/eV per atom: 1.62
! Energy of formation, eV/atom: 1.97

=====

! Y2SbC | the Alexandria database | PBE-GGA | relaxed; values from VASP
&SYSTEM
  ibrav = 0, nat = 12, ntyp = 3
/
ATOMIC_SPECIES
Y 88.91 Y.upf
Sb 121.76 Sb.upf
C 12.01 C.upf
ATOMIC_POSITIONS crystal
Y 0.000 0.000 0.226
Y 0.000 0.000 0.774
Y 0.333 0.667 0.441
Y 0.333 0.667 0.892
Y 0.667 0.333 0.108
Y 0.667 0.333 0.559
Sb 0.000 0.000 0.000
Sb 0.333 0.667 0.667
Sb 0.667 0.333 0.333
C 0.000 0.000 0.500
C 0.333 0.667 0.167
C 0.667 0.333 0.833
CELL_PARAMETERS angstrom
3.684 0.000 0.000
-1.842 3.191 0.000
0.000 0.000 22.675
! Formation energy (no corrections), eV/f.u.: -2.6
! D(E_F), states/eV per atom: 0.16